Density functional theory data (PBE) for a relaxed CaNbSeBr2 crystal.

Output
M_tot = 3.0 μB per cell
Crystal system = tetragonal
Energy above the most stable polymorph in this dataset = 542 meV per atom
Space-group type = P4/mmm (123)
Total DFT energy (no corrections) = -3.860 eV per atom
Calculated volume = 163 Å³/f.u.
Energy relative to the elements, uncorrected = -0.40 eV per formula unit

Lattice parameters (Å, degrees): 5.3258 5.3258 5.7579 90.00 90.00 90.00
Closest atoms and distances in Å follow each position.
Fractional coordinates of all 5 atoms:
Nb: 0.5000 0.5000 0.5000  4 Se 3.77, 8 Br 3.92
Ca: 0.0000 0.0000 0.0000  4 Br 2.66, 2 Se 2.88
Se: 0.0000 0.0000 0.5000  2 Ca 2.88
Br: 0.0000 0.5000 0.0000  2 Ca 2.66
Br: 0.5000 0.0000 0.0000  2 Ca 2.66

Density functional theory data (PBE) for a relaxed CeSmAgGe crystal.

Output
M_tot = 1.9 μB per cell
Crystal system = cubic
Space-group type = F-43m (216)
Total DFT energy (no corrections) = -4.960 eV per atom
Calculated volume = 100 Å³/f.u.
ΔH_f (0 K) = -430 meV/atom

Lattice parameters (Å, degrees): 5.2094 5.2094 5.2094 60.00 60.00 60.00
Closest atoms and distances in Å follow each position.
Fractional coordinates of all 4 atoms:
Ag: 0.0000 0.0000 0.0000  4 Ce 3.19, 4 Sm 3.19
Ge: 0.5000 0.5000 0.5000  4 Sm 3.19, 4 Ce 3.19
Ce: 0.2500 0.2500 0.2500  4 Ge 3.19, 4 Ag 3.19
Sm: 0.7500 0.7500 0.7500  4 Ag 3.19, 4 Ge 3.19

Density functional theory data (PBE) for a relaxed CaNiSe2Br crystal.

Output
M_tot = 0.0 μB per cell
Crystal system = tetragonal
Energy above the most stable polymorph in this dataset = 0 meV per atom
Space-group type = P4/mmm (123)
Total DFT energy (no corrections) = -3.953 eV per atom
Calculated volume = 115 Å³/f.u.
Energy relative to the elements, uncorrected = -3.34 eV per formula unit

Lattice parameters (Å, degrees): 4.7868 4.7868 5.0023 90.00 90.00 90.00
Closest atoms and distances in Å follow each position.
Fractional coordinates of all 5 atoms:
Ni: 0.0000 0.0000 0.0000  4 Se 2.39, 2 Br 2.50
Ca: 0.5000 0.5000 0.5000  4 Br 3.38, 8 Se 3.46
Se: 0.0000 0.5000 0.0000  2 Ni 2.39
Se: 0.5000 0.0000 0.0000  2 Ni 2.39
Br: 0.0000 0.0000 0.5000  2 Ni 2.50

Density functional theory data (PBE) for a relaxed ScTiCo2 crystal.

Output
M_tot = 1.2 μB per cell
Crystal system = orthorhombic
Space-group type = Immm (71)
Total DFT energy (no corrections) = -6.625 eV per atom
Calculated volume = 60 Å³/f.u.
ΔH_f (0 K) = 484 meV/atom

Lattice parameters (Å, degrees): 5.4031 5.4031 5.4031 60.76 150.68 128.07
Closest atoms and distances in Å follow each position.
Fractional coordinates of all 4 atoms:
Sc: 0.0000 0.0000 0.0000  2 Co 2.47, 4 Ti 2.73, 2 Sc 2.73
Ti: 0.0000 0.5000 0.5000  2 Co 2.19
Co: 0.0000 0.2649 0.2649  1 Ti 2.19
Co: 0.0000 0.7351 0.7351  1 Ti 2.19

Density functional theory data (PBE) for a relaxed Sb2PtCl crystal.

Output
M_tot = 0.0 μB per cell
Crystal system = monoclinic
Energy above the most stable polymorph in this dataset = 0 meV per atom
Space-group type = C2/m (12)
Total DFT energy (no corrections) = -4.512 eV per atom
Calculated volume = 120 Å³/f.u.
Energy relative to the elements, uncorrected = -1.91 eV per formula unit

Lattice parameters (Å, degrees): 4.2392 4.2392 8.0554 105.19 105.19 60.21
Closest atoms and distances in Å follow each position.
Fractional coordinates of all 4 atoms:
Cl: 0.7500 0.7500 0.7500  2 Sb 2.67
Pt: 0.2500 0.2500 0.2500  6 Sb 2.71
Sb: 0.8654 0.8654 0.0983  1 Cl 2.67, 3 Pt 2.71
Sb: 0.6346 0.6346 0.4017  1 Cl 2.67, 3 Pt 2.71

Density functional theory data (PBE) for a relaxed NdMg5Pt2 crystal.

Output
M_tot = 0.0 μB per cell
Crystal system = orthorhombic
Space-group type = Immm (71)
Total DFT energy (no corrections) = -3.728 eV per atom
Calculated volume = 174 Å³/f.u.
ΔH_f (0 K) = -625 meV/atom

Lattice parameters (Å, degrees): 4.1878 6.8264 6.8264 74.57 72.14 72.14
Closest atoms and distances in Å follow each position.
Fractional coordinates of all 8 atoms:
Nd: 0.0000 0.0000 0.0000  4 Pt 3.12
Mg: 0.0000 0.5000 0.5000  2 Pt 2.70
Mg: 0.6628 0.5204 0.1540  3 Pt 2.71-2.80, 3 Mg 2.94-3.03
Mg: 0.3372 0.4796 0.8460  3 Pt 2.71-2.80, 3 Mg 2.94-3.03
Mg: 0.3372 0.8460 0.4796  3 Pt 2.71-2.80, 3 Mg 2.94-3.03
Mg: 0.6628 0.1540 0.5204  3 Pt 2.71-2.80, 3 Mg 2.94-3.03
Pt: 0.7304 0.7696 0.7696  7 Mg 2.70-2.80
Pt: 0.2696 0.2304 0.2304  7 Mg 2.70-2.80